Record 1
A plane-wave DFT calculation with PBE-GGA was carried out for a geometry-optimized Li2Sc2Fe structure.

Unit cell a=6.3601 b=6.3601 c=5.3419 alpha=90.00 beta=90.00 gamma=90.00
Element x y z (fractional)
Sc (0.3252, 0.8252, 0.0000)
Sc (0.8252, 0.6748, 0.0000)
Sc (0.6748, 0.1748, 0.0000)
Sc (0.1748, 0.3252, 0.0000)
Fe (0.0000, 0.0000, 0.0000)
Fe (0.5000, 0.5000, 0.0000)
Li (0.1717, 0.6717, 0.5000)
Li (0.6717, 0.8283, 0.5000)
Li (0.8283, 0.3283, 0.5000)
Li (0.3283, 0.1717, 0.5000)

Summary:
total energy: -4.627 eV per atom
excess energy over the best structure of this formula in the dataset: 21.0 kJ/mol of atoms
mass density: 2.45 g/cm3
energy of formation: 35.10 kJ per mole of atoms
SG: P4/mbm

Record 2
A plane-wave DFT calculation with PBE-GGA was carried out for a geometry-optimized Li2Sc2Fe structure.

Unit cell a=3.2146 b=3.2146 c=8.9636 alpha=79.67 beta=79.67 gamma=90.00
Element x y z (fractional)
Sc (0.4144, 0.4144, 0.1711)
Sc (0.5856, 0.5856, 0.8289)
Fe (0.0000, 0.0000, 0.0000)
Li (0.7500, 0.2500, 0.5000)
Li (0.2500, 0.7500, 0.5000)

Summary:
total energy: -4.845 eV per atom
excess energy over the best structure of this formula in the dataset: 0.0 kJ/mol of atoms
mass density: 2.96 g/cm3
energy of formation: 14.09 kJ per mole of atoms
SG: I4/mmm

Record 3
A plane-wave DFT calculation with PBE-GGA was carried out for a geometry-optimized LiScFe3 structure.

Unit cell a=4.5384 b=4.5384 c=4.5384 alpha=90.00 beta=90.00 gamma=90.00
Site moments in Bohr magnetons follow the coordinates.
Element x y z (fractional)
Sc (0.0000, 0.0000, 0.0000)  -0.56
Fe (0.0000, 0.5000, 0.0000)  2.40
Fe (0.0000, 0.0000, 0.5000)  2.33
Fe (0.5000, 0.0000, 0.0000)  2.39
Li (0.5000, 0.5000, 0.5000)  -0.02

Summary:
total energy: -5.411 eV per atom
excess energy over the best structure of this formula in the dataset: 61.8 kJ/mol of atoms
mass density: 3.90 g/cm3
energy of formation: 126.97 kJ per mole of atoms
SG: Pm-3m

Record 4
A plane-wave DFT calculation with PBE-GGA was carried out for a geometry-optimized LiScFe structure.

Unit cell a=5.2118 b=5.2118 c=5.2118 alpha=146.79 beta=141.04 gamma=52.10
Site moments in Bohr magnetons follow the coordinates.
Element x y z (fractional)
Fe (0.9946, 0.9946, 0.0000)  2.14
Li (0.3534, 0.3534, 0.0000)  -0.05
Sc (0.6520, 0.6520, 0.0000)  -0.38

Summary:
total energy: -5.355 eV per atom
excess energy over the best structure of this formula in the dataset: 0.0 kJ/mol of atoms
mass density: 3.69 g/cm3
energy of formation: 20.70 kJ per mole of atoms
SG: Imm2

Record 5
A plane-wave DFT calculation with PBE-GGA was carried out for a geometry-optimized LiSc2Fe2 structure.

Unit cell a=6.9262 b=6.9262 c=3.5804 alpha=90.00 beta=90.00 gamma=90.00
Site moments in Bohr magnetons follow the coordinates.
Element x y z (fractional)
Sc (0.1746, 0.6746, 0.5000)  -0.30
Sc (0.6746, 0.8254, 0.5000)  -0.30
Sc (0.8254, 0.3254, 0.5000)  -0.30
Sc (0.3254, 0.1746, 0.5000)  -0.30
Fe (0.3853, 0.8853, 0.0000)  1.94
Fe (0.8853, 0.6147, 0.0000)  1.91
Fe (0.6147, 0.1147, 0.0000)  1.94
Fe (0.1147, 0.3853, 0.0000)  1.91
Li (0.0000, 0.0000, 0.0000)  -0.05
Li (0.5000, 0.5000, 0.0000)  -0.05

Summary:
total energy: -6.249 eV per atom
mass density: 4.03 g/cm3
energy of formation: 4.97 kJ per mole of atoms
SG: P4/mbm

Record 6
A plane-wave DFT calculation with PBE-GGA was carried out for a geometry-optimized LiScFe structure.

Unit cell a=6.2584 b=6.2592 c=2.9591 alpha=76.31 beta=76.34 gamma=27.35
Site moments in Bohr magnetons follow the coordinates.
Element x y z (fractional)
Fe (0.9984, 0.9984, 0.0016)  2.38
Li (0.3557, 0.3557, 0.6443)  -0.02
Sc (0.6459, 0.6459, 0.3541)  -0.25

Summary:
total energy: -5.339 eV per atom
excess energy over the best structure of this formula in the dataset: 1.6 kJ/mol of atoms
mass density: 3.46 g/cm3
energy of formation: 22.27 kJ per mole of atoms
SG: I4mm

Record 7
A plane-wave DFT calculation with PBE-GGA was carried out for a geometry-optimized LiSc6Fe2 structure.

Unit cell a=7.7935 b=7.7935 c=7.7935 alpha=106.20 beta=109.32 gamma=112.96
Element x y z (fractional)
Li (0.0000, 0.5000, 0.5000)
Li (0.0000, 0.0000, 0.0000)
Sc (0.5348, 0.7176, 0.8172)
Sc (0.4652, 0.2824, 0.1828)
Sc (0.0997, 0.2824, 0.8172)
Sc (0.9003, 0.7176, 0.1828)
Sc (0.7932, 0.7626, 0.5558)
Sc (0.2068, 0.2374, 0.4442)
Sc (0.2068, 0.7626, 0.9695)
Sc (0.7932, 0.2374, 0.0305)
Sc (0.6845, 0.3582, 0.6737)
Sc (0.3155, 0.6418, 0.3263)
Sc (0.3155, 0.9892, 0.6737)
Sc (0.6845, 0.0108, 0.3263)
Fe (0.5000, 0.3839, 0.8839)
Fe (0.5000, 0.6161, 0.1161)
Fe (0.6735, 0.0000, 0.6735)
Fe (0.3265, 0.0000, 0.3265)

Summary:
total energy: -6.356 eV per atom
mass density: 3.55 g/cm3
energy of formation: -3.98 kJ per mole of atoms
SG: Immm

Record 8
A plane-wave DFT calculation with PBE-GGA was carried out for a geometry-optimized Li2Sc2Fe structure.

Unit cell a=4.9957 b=4.9957 c=4.9327 alpha=59.58 beta=59.58 gamma=90.00
Site moments in Bohr magnetons follow the coordinates.
Element x y z (fractional)
Sc (0.7500, 0.2500, 0.5000)  -0.32
Sc (0.2500, 0.7500, 0.5000)  -0.32
Fe (0.0000, 0.0000, 0.0000)  1.76
Li (0.3613, 0.3613, 0.2774)  -0.06
Li (0.6387, 0.6387, 0.7226)  -0.06

Summary:
total energy: -4.513 eV per atom
excess energy over the best structure of this formula in the dataset: 32.0 kJ/mol of atoms
mass density: 3.09 g/cm3
energy of formation: 46.12 kJ per mole of atoms
SG: I4/mmm

Record 9
A plane-wave DFT calculation with PBE-GGA was carried out for a geometry-optimized Li3ScFe structure.

Unit cell a=4.4530 b=4.4530 c=4.4530 alpha=90.00 beta=90.00 gamma=90.00
Element x y z (fractional)
Sc (0.5000, 0.5000, 0.5000)
Fe (0.0000, 0.0000, 0.0000)
Li (0.0000, 0.5000, 0.0000)
Li (0.0000, 0.0000, 0.5000)
Li (0.5000, 0.0000, 0.0000)

Summary:
total energy: -3.298 eV per atom
excess energy over the best structure of this formula in the dataset: 0.0 kJ/mol of atoms
mass density: 2.29 g/cm3
energy of formation: 78.08 kJ per mole of atoms
SG: Pm-3m

Record 10
A plane-wave DFT calculation with PBE-GGA was carried out for a geometry-optimized LiScFe4 structure.

Unit cell a=4.8211 b=4.8211 c=4.8211 alpha=60.00 beta=60.00 gamma=60.00
Site moments in Bohr magnetons follow the coordinates.
Element x y z (fractional)
Li (0.7500, 0.7500, 0.7500)  -0.07
Sc (0.0000, 0.0000, 0.0000)  -0.36
Fe (0.8731, 0.3756, 0.3756)  1.66
Fe (0.3756, 0.3756, 0.8731)  1.66
Fe (0.3756, 0.8731, 0.3756)  1.66
Fe (0.3756, 0.3756, 0.3756)  1.66

Summary:
total energy: -7.020 eV per atom
mass density: 5.77 g/cm3
energy of formation: -0.42 kJ per mole of atoms
SG: F-43m

Record 11
A plane-wave DFT calculation with PBE-GGA was carried out for a geometry-optimized LiScFe structure.

Unit cell a=4.3609 b=4.3609 c=2.8492 alpha=90.00 beta=90.00 gamma=120.00
Site moments in Bohr magnetons follow the coordinates.
Element x y z (fractional)
Fe (0.0000, 0.0000, 0.1181)  1.86
Li (0.3333, 0.6667, 0.2267)  -0.05
Sc (0.6667, 0.3333, 0.6551)  -0.40

Summary:
total energy: -5.312 eV per atom
excess energy over the best structure of this formula in the dataset: 4.1 kJ/mol of atoms
mass density: 3.81 g/cm3
energy of formation: 24.83 kJ per mole of atoms
SG: P3m1

Record 12
A plane-wave DFT calculation with PBE-GGA was carried out for a geometry-optimized LiScFe structure.

Unit cell a=4.3745 b=4.3745 c=4.3745 alpha=60.00 beta=60.00 gamma=60.00
Site moments in Bohr magnetons follow the coordinates.
Element x y z (fractional)
Fe (0.0000, 0.0000, 0.0000)  2.24
Li (0.5000, 0.5000, 0.5000)  -0.07
Sc (0.2500, 0.2500, 0.2500)  -0.43

Summary:
total energy: -4.664 eV per atom
excess energy over the best structure of this formula in the dataset: 66.6 kJ/mol of atoms
mass density: 3.02 g/cm3
energy of formation: 87.31 kJ per mole of atoms
SG: F-43m